1.
First-principles (PBE) data for a relaxed Al2SbAs crystal, as listed in Alexandria via LeMat-Bulk.

## Properties
The calculation puts the spin magnetization at 0.000 μB per cell. The calculation puts the formation energy from raw total energies at -0.3114 eV/atom. The calculation puts the energy above the most stable polymorph in this dataset at 0.0000 eV/atom. For the density of states at the Fermi level, the calculation gives 0.000 states/eV/atom.

Cell and atoms, written as CIF:
```
data_Al2SbAs
_chemical_formula_sum 'Al4 Sb2 As2'
_cell_length_a 5.9863
_cell_length_b 5.9863
_cell_length_c 7.3109
_cell_angle_alpha 65.83
_cell_angle_beta 65.83
_cell_angle_gamma 90.00
_symmetry_space_group_name_H-M 'P 1'
_symmetry_Int_Tables_number 1
loop_
_symmetry_equiv_pos_as_xyz
'x,y,z'
loop_
_atom_site_label
_atom_site_type_symbol
_atom_site_fract_x
_atom_site_fract_y
_atom_site_fract_z
_atom_site_occupancy
Sb1 Sb 0.0000 0.0000 0.0000 1
Sb2 Sb 0.7500 0.2500 0.5000 1
As1 As 0.5000 0.5000 0.0000 1
As2 As 0.2500 0.7500 0.5000 1
Al1 Al 0.5989 0.1250 0.2500 1
Al2 Al 0.1511 0.6250 0.2500 1
Al3 Al 0.3750 0.4011 0.7500 1
Al4 Al 0.8750 0.8489 0.7500 1
```

=====

2.
First-principles (PBE) data for a relaxed Al2SbAs crystal, as listed in Alexandria via LeMat-Bulk.

## Properties
The calculation puts the spin magnetization at 0.000 μB per cell. The calculation puts the formation energy from raw total energies at 0.2370 eV/atom. The calculation puts the energy above the most stable polymorph in this dataset at 0.5483 eV/atom. For the density of states at the Fermi level, the calculation gives 0.430 states/eV/atom.

Cell and atoms, written as CIF:
```
data_Al2SbAs
_chemical_formula_sum 'Al2 Sb1 As1'
_cell_length_a 3.7925
_cell_length_b 4.8241
_cell_length_c 4.5159
_cell_angle_alpha 90.00
_cell_angle_beta 90.00
_cell_angle_gamma 90.00
_symmetry_space_group_name_H-M 'P 1'
_symmetry_Int_Tables_number 1
loop_
_symmetry_equiv_pos_as_xyz
'x,y,z'
loop_
_atom_site_label
_atom_site_type_symbol
_atom_site_fract_x
_atom_site_fract_y
_atom_site_fract_z
_atom_site_occupancy
Sb1 Sb 0.0000 0.5000 0.5000 1
As1 As 0.5000 0.0000 0.5000 1
Al1 Al 0.0000 0.0000 0.0000 1
Al2 Al 0.5000 0.5000 0.0000 1
```

=====

3.
First-principles (PBE) data for a relaxed AlSbAs2 crystal, as listed in Alexandria via LeMat-Bulk.

## Properties
The calculation puts the spin magnetization at 0.000 μB per cell. The calculation puts the formation energy from raw total energies at 0.1003 eV/atom. The calculation puts the energy above the most stable polymorph in this dataset at 0.1529 eV/atom. For the density of states at the Fermi level, the calculation gives 0.456 states/eV/atom.

Cell and atoms, written as CIF:
```
data_AlSbAs2
_chemical_formula_sum 'Al1 Sb1 As2'
_cell_length_a 6.1206
_cell_length_b 6.1206
_cell_length_c 4.3817
_cell_angle_alpha 70.86
_cell_angle_beta 70.86
_cell_angle_gamma 35.38
_symmetry_space_group_name_H-M 'P 1'
_symmetry_Int_Tables_number 1
loop_
_symmetry_equiv_pos_as_xyz
'x,y,z'
loop_
_atom_site_label
_atom_site_type_symbol
_atom_site_fract_x
_atom_site_fract_y
_atom_site_fract_z
_atom_site_occupancy
Sb1 Sb 0.5613 0.5613 0.3821 1
As1 As 0.9230 0.9230 0.0088 1
As2 As 0.7437 0.7437 0.7682 1
Al1 Al 0.2719 0.2719 0.3409 1
```

=====

4.
First-principles (PBE) data for a relaxed Al2SbAs crystal, as listed in Alexandria via LeMat-Bulk.

## Properties
The calculation puts the spin magnetization at 0.000 μB per cell. The calculation puts the formation energy from raw total energies at 0.1459 eV/atom. The calculation puts the energy above the most stable polymorph in this dataset at 0.4573 eV/atom. For the density of states at the Fermi level, the calculation gives 0.311 states/eV/atom.

Cell and atoms, written as CIF:
```
data_Al2SbAs
_chemical_formula_sum 'Al2 Sb1 As1'
_cell_length_a 3.3996
_cell_length_b 3.3996
_cell_length_c 6.9641
_cell_angle_alpha 90.00
_cell_angle_beta 90.00
_cell_angle_gamma 90.00
_symmetry_space_group_name_H-M 'P 1'
_symmetry_Int_Tables_number 1
loop_
_symmetry_equiv_pos_as_xyz
'x,y,z'
loop_
_atom_site_label
_atom_site_type_symbol
_atom_site_fract_x
_atom_site_fract_y
_atom_site_fract_z
_atom_site_occupancy
Sb1 Sb 0.5000 0.5000 0.7500 1
As1 As 0.5000 0.5000 0.2500 1
Al1 Al 0.0000 0.0000 0.0387 1
Al2 Al 0.0000 0.0000 0.4613 1
```

=====

5.
First-principles (PBE) data for a relaxed AlSb2As crystal, as listed in Alexandria via LeMat-Bulk.

## Properties
The calculation puts the spin magnetization at 0.000 μB per cell. The calculation puts the formation energy from raw total energies at 0.3137 eV/atom. The calculation puts the energy above the most stable polymorph in this dataset at 0.3036 eV/atom. For the density of states at the Fermi level, the calculation gives 0.525 states/eV/atom.

Cell and atoms, written as CIF:
```
data_AlSb2As
_chemical_formula_sum 'Al1 Sb2 As1'
_cell_length_a 3.4450
_cell_length_b 3.4450
_cell_length_c 8.2592
_cell_angle_alpha 90.00
_cell_angle_beta 90.00
_cell_angle_gamma 106.30
_symmetry_space_group_name_H-M 'P 1'
_symmetry_Int_Tables_number 1
loop_
_symmetry_equiv_pos_as_xyz
'x,y,z'
loop_
_atom_site_label
_atom_site_type_symbol
_atom_site_fract_x
_atom_site_fract_y
_atom_site_fract_z
_atom_site_occupancy
Sb1 Sb 0.0000 0.0000 0.0070 1
Sb2 Sb 0.0000 0.0000 0.4930 1
As1 As 0.5000 0.5000 0.7500 1
Al1 Al 0.5000 0.5000 0.2500 1
```

=====

6.
First-principles (PBE) data for a relaxed Al2SbAs crystal, as listed in Alexandria via LeMat-Bulk.

## Properties
The calculation puts the spin magnetization at 0.000 μB per cell. The calculation puts the formation energy from raw total energies at 0.0688 eV/atom. The calculation puts the energy above the most stable polymorph in this dataset at 0.3802 eV/atom. For the density of states at the Fermi level, the calculation gives 0.479 states/eV/atom.

Cell and atoms, written as CIF:
```
data_Al2SbAs
_chemical_formula_sum 'Al2 Sb1 As1'
_cell_length_a 6.7013
_cell_length_b 6.7013
_cell_length_c 6.7013
_cell_angle_alpha 148.09
_cell_angle_beta 147.34
_cell_angle_gamma 46.31
_symmetry_space_group_name_H-M 'P 1'
_symmetry_Int_Tables_number 1
loop_
_symmetry_equiv_pos_as_xyz
'x,y,z'
loop_
_atom_site_label
_atom_site_type_symbol
_atom_site_fract_x
_atom_site_fract_y
_atom_site_fract_z
_atom_site_occupancy
Sb1 Sb 0.2951 0.7951 0.5000 1
As1 As 0.5361 0.5361 0.0000 1
Al1 Al 0.9781 0.9781 0.0000 1
Al2 Al 0.6908 0.1908 0.5000 1
```

=====

7.
First-principles (PBE) data for a relaxed AlSbAs4 crystal, as listed in Alexandria via LeMat-Bulk.

## Properties
The calculation puts the spin magnetization at 0.000 μB per cell. The calculation puts the formation energy from raw total energies at 0.4521 eV/atom. For the density of states at the Fermi level, the calculation gives 0.250 states/eV/atom.

Cell and atoms, written as CIF:
```
data_AlSbAs4
_chemical_formula_sum 'Al1 Sb1 As4'
_cell_length_a 5.7051
_cell_length_b 5.7051
_cell_length_c 5.7051
_cell_angle_alpha 60.00
_cell_angle_beta 60.00
_cell_angle_gamma 60.00
_symmetry_space_group_name_H-M 'P 1'
_symmetry_Int_Tables_number 1
loop_
_symmetry_equiv_pos_as_xyz
'x,y,z'
loop_
_atom_site_label
_atom_site_type_symbol
_atom_site_fract_x
_atom_site_fract_y
_atom_site_fract_z
_atom_site_occupancy
Al1 Al 0.0000 0.0000 0.0000 1
Sb1 Sb 0.7500 0.7500 0.7500 1
As1 As 0.8950 0.3683 0.3683 1
As2 As 0.3683 0.3683 0.8950 1
As3 As 0.3683 0.8950 0.3683 1
As4 As 0.3683 0.3683 0.3683 1
```

=====

8.
First-principles (PBE) data for a relaxed Al2Sb4As crystal, as listed in Alexandria via LeMat-Bulk.

## Properties
The calculation puts the spin magnetization at 0.000 μB per cell. The calculation puts the formation energy from raw total energies at 0.4151 eV/atom. For the density of states at the Fermi level, the calculation gives 0.613 states/eV/atom.

Cell and atoms, written as CIF:
```
data_Al2Sb4As
_chemical_formula_sum 'Al2 Sb4 As1'
_cell_length_a 5.2546
_cell_length_b 5.2546
_cell_length_c 8.4419
_cell_angle_alpha 71.87
_cell_angle_beta 71.87
_cell_angle_gamma 90.00
_symmetry_space_group_name_H-M 'P 1'
_symmetry_Int_Tables_number 1
loop_
_symmetry_equiv_pos_as_xyz
'x,y,z'
loop_
_atom_site_label
_atom_site_type_symbol
_atom_site_fract_x
_atom_site_fract_y
_atom_site_fract_z
_atom_site_occupancy
Sb1 Sb 0.7654 0.7654 0.4692 1
Sb2 Sb 0.2346 0.2346 0.5308 1
Sb3 Sb 0.0000 0.5000 0.0000 1
Sb4 Sb 0.5000 0.0000 0.0000 1
As1 As 0.0000 0.0000 0.0000 1
Al1 Al 0.5910 0.5910 0.8179 1
Al2 Al 0.4090 0.4090 0.1821 1
```

=====

9.
First-principles (PBE) data for a relaxed AlSbAs2 crystal, as listed in Alexandria via LeMat-Bulk.

## Properties
The calculation puts the spin magnetization at 0.000 μB per cell. The calculation puts the formation energy from raw total energies at -0.0526 eV/atom. The calculation puts the energy above the most stable polymorph in this dataset at 0.0000 eV/atom. For the density of states at the Fermi level, the calculation gives 0.539 states/eV/atom.

Cell and atoms, written as CIF:
```
data_AlSbAs2
_chemical_formula_sum 'Al1 Sb1 As2'
_cell_length_a 6.7753
_cell_length_b 6.7753
_cell_length_c 6.7753
_cell_angle_alpha 34.09
_cell_angle_beta 34.09
_cell_angle_gamma 34.09
_symmetry_space_group_name_H-M 'P 1'
_symmetry_Int_Tables_number 1
loop_
_symmetry_equiv_pos_as_xyz
'x,y,z'
loop_
_atom_site_label
_atom_site_type_symbol
_atom_site_fract_x
_atom_site_fract_y
_atom_site_fract_z
_atom_site_occupancy
Sb1 Sb 0.2500 0.2500 0.2500 1
As1 As 0.0099 0.0099 0.0099 1
As2 As 0.4901 0.4901 0.4901 1
Al1 Al 0.7500 0.7500 0.7500 1
```

=====

10.
First-principles (PBE) data for a relaxed AlSb2As crystal, as listed in Alexandria via LeMat-Bulk.

## Properties
The calculation puts the spin magnetization at 0.000 μB per cell. The calculation puts the formation energy from raw total energies at 0.1392 eV/atom. The calculation puts the energy above the most stable polymorph in this dataset at 0.1290 eV/atom. For the density of states at the Fermi level, the calculation gives 0.504 states/eV/atom.

Cell and atoms, written as CIF:
```
data_AlSb2As
_chemical_formula_sum 'Al1 Sb2 As1'
_cell_length_a 6.7173
_cell_length_b 6.7173
_cell_length_c 6.7173
_cell_angle_alpha 143.81
_cell_angle_beta 147.14
_cell_angle_gamma 49.68
_symmetry_space_group_name_H-M 'P 1'
_symmetry_Int_Tables_number 1
loop_
_symmetry_equiv_pos_as_xyz
'x,y,z'
loop_
_atom_site_label
_atom_site_type_symbol
_atom_site_fract_x
_atom_site_fract_y
_atom_site_fract_z
_atom_site_occupancy
Sb1 Sb 0.0662 0.0662 0.0000 1
Sb2 Sb 0.4338 0.4338 0.0000 1
As1 As 0.2500 0.7500 0.5000 1
Al1 Al 0.7500 0.2500 0.5000 1
```

=====

11.
First-principles (PBE) data for a relaxed AlSb2As crystal, as listed in Alexandria via LeMat-Bulk.

## Properties
The calculation puts the spin magnetization at 0.000 μB per cell. The calculation puts the formation energy from raw total energies at 0.1567 eV/atom. The calculation puts the energy above the most stable polymorph in this dataset at 0.1466 eV/atom. For the density of states at the Fermi level, the calculation gives 0.467 states/eV/atom.

Cell and atoms, written as CIF:
```
data_AlSb2As
_chemical_formula_sum 'Al1 Sb2 As1'
_cell_length_a 6.3182
_cell_length_b 6.3182
_cell_length_c 6.3182
_cell_angle_alpha 145.92
_cell_angle_beta 136.59
_cell_angle_gamma 56.31
_symmetry_space_group_name_H-M 'P 1'
_symmetry_Int_Tables_number 1
loop_
_symmetry_equiv_pos_as_xyz
'x,y,z'
loop_
_atom_site_label
_atom_site_type_symbol
_atom_site_fract_x
_atom_site_fract_y
_atom_site_fract_z
_atom_site_occupancy
Sb1 Sb 0.0052 0.0052 0.0000 1
Sb2 Sb 0.6945 0.1945 0.5000 1
As1 As 0.3188 0.8188 0.5000 1
Al1 Al 0.4815 0.4815 0.0000 1
```

=====

12.
First-principles (PBE) data for a relaxed AlSb4As crystal, as listed in Alexandria via LeMat-Bulk.

## Properties
The calculation puts the spin magnetization at 0.000 μB per cell. The calculation puts the formation energy from raw total energies at 0.5524 eV/atom. For the density of states at the Fermi level, the calculation gives 0.503 states/eV/atom.

Cell and atoms, written as CIF:
```
data_AlSb4As
_chemical_formula_sum 'Al1 Sb4 As1'
_cell_length_a 6.1701
_cell_length_b 6.1701
_cell_length_c 6.1701
_cell_angle_alpha 60.00
_cell_angle_beta 60.00
_cell_angle_gamma 60.00
_symmetry_space_group_name_H-M 'P 1'
_symmetry_Int_Tables_number 1
loop_
_symmetry_equiv_pos_as_xyz
'x,y,z'
loop_
_atom_site_label
_atom_site_type_symbol
_atom_site_fract_x
_atom_site_fract_y
_atom_site_fract_z
_atom_site_occupancy
Al1 Al 0.7500 0.7500 0.7500 1
Sb1 Sb 0.8752 0.3749 0.3749 1
Sb2 Sb 0.3749 0.3749 0.8752 1
Sb3 Sb 0.3749 0.8752 0.3749 1
Sb4 Sb 0.3749 0.3749 0.3749 1
As1 As 0.0000 0.0000 0.0000 1
```

=====

13.
First-principles (PBE) data for a relaxed AlSbAs2 crystal, as listed in Alexandria via LeMat-Bulk.

## Properties
The calculation puts the spin magnetization at 0.000 μB per cell. The calculation puts the formation energy from raw total energies at 0.2716 eV/atom. The calculation puts the energy above the most stable polymorph in this dataset at 0.3242 eV/atom. For the density of states at the Fermi level, the calculation gives 0.314 states/eV/atom.

Cell and atoms, written as CIF:
```
data_AlSbAs2
_chemical_formula_sum 'Al1 Sb1 As2'
_cell_length_a 4.8227
_cell_length_b 4.8227
_cell_length_c 3.5997
_cell_angle_alpha 90.00
_cell_angle_beta 90.00
_cell_angle_gamma 96.48
_symmetry_space_group_name_H-M 'P 1'
_symmetry_Int_Tables_number 1
loop_
_symmetry_equiv_pos_as_xyz
'x,y,z'
loop_
_atom_site_label
_atom_site_type_symbol
_atom_site_fract_x
_atom_site_fract_y
_atom_site_fract_z
_atom_site_occupancy
Sb1 Sb 0.5000 0.0000 0.5000 1
As1 As 0.0000 0.0000 0.0000 1
As2 As 0.5000 0.5000 0.0000 1
Al1 Al 0.0000 0.5000 0.5000 1
```

=====

14.
First-principles (PBE) data for a relaxed AlSbAs2 crystal, as listed in Alexandria via LeMat-Bulk.

## Properties
The calculation puts the spin magnetization at 0.000 μB per cell. The calculation puts the formation energy from raw total energies at 0.1788 eV/atom. The calculation puts the energy above the most stable polymorph in this dataset at 0.2314 eV/atom. For the density of states at the Fermi level, the calculation gives 0.368 states/eV/atom.

Cell and atoms, written as CIF:
```
data_AlSbAs2
_chemical_formula_sum 'Al1 Sb1 As2'
_cell_length_a 5.8557
_cell_length_b 5.8557
_cell_length_c 4.6656
_cell_angle_alpha 71.22
_cell_angle_beta 71.22
_cell_angle_gamma 36.74
_symmetry_space_group_name_H-M 'P 1'
_symmetry_Int_Tables_number 1
loop_
_symmetry_equiv_pos_as_xyz
'x,y,z'
loop_
_atom_site_label
_atom_site_type_symbol
_atom_site_fract_x
_atom_site_fract_y
_atom_site_fract_z
_atom_site_occupancy
Sb1 Sb 0.7500 0.7500 0.7500 1
As1 As 0.9328 0.9328 0.1054 1
As2 As 0.5672 0.5672 0.3946 1
Al1 Al 0.2500 0.2500 0.2500 1
```

=====

Per-record calculated volume, Å³/atom: 26.702, 20.655, 22.307, 20.122, 23.520, 21.389, 21.883, 29.900, 21.782, 24.166, 24.100, 27.682, 20.797, 22.504